Version one
{
  "formula": "LiTmIr",
  "functional": "PBE",
  "state": "optimized geometry",
  "cell": [[-2.7981, 2.9817, 3.6234], [-3.4020, 2.7930, 0.5139], [-2.7739, -3.5173, 0.7515]],
  "species": ["Li", "Tm", "Ir"],
  "frac_coords": [[0.0000, 0.5000, 0.0000], [0.0000, 0.0000, 0.5000], [0.5000, 0.5000, 0.0000]],
  "dos_at_fermi_per_ev_fu": 1.67,
  "space_group": "No. 10"
}

Version two
{
  "formula": "LiTmIr",
  "functional": "PBE",
  "state": "optimized geometry",
  "cell": [[-4.7426, 3.8048, 7.9628], [5.8353, -6.4764, -4.9376], [2.4236, 1.7038, 0.6293]],
  "species": ["Li", "Ir", "Ir", "Tm", "Tm", "Li"],
  "frac_coords": [[0.9326, 0.0674, 0.2500], [0.5540, 0.4460, 0.2500], [0.4460, 0.5540, 0.7500], [0.3134, 0.6866, 0.7500], [0.6866, 0.3134, 0.2500], [0.0674, 0.9326, 0.7500]],
  "dos_at_fermi_per_ev_fu": 2.99,
  "space_group": "No. 63"
}

Energies in kJ/mol of atoms, measured from the most stable structure: version one 0.0; version two 32.9.

Version one
{
  "formula": "LiTmIr",
  "functional": "PBE",
  "state": "optimized geometry",
  "cell": [[3.2402, 0.0000, 0.0000], [0.0000, 4.3556, 0.0000], [0.0000, -2.1778, 3.7720]],
  "species": ["Li", "Tm", "Ir"],
  "frac_coords": [[0.1651, 0.6667, 0.3333], [0.6667, 0.3333, 0.6667], [0.1682, 0.0000, 0.0000]],
  "dos_at_fermi_per_ev_fu": 0.64,
  "space_group": "No. 156"
}

Version two
{
  "formula": "LiTmIr",
  "functional": "PBE",
  "state": "optimized geometry",
  "cell": [[-2.5774, 0.6703, 2.1915], [-1.5891, -2.8991, -0.9823], [4.2520, -1.1759, 2.6466]],
  "species": ["Tm", "Li", "Ir"],
  "frac_coords": [[0.9372, 0.9372, 0.8744], [0.6389, 0.6389, 0.2778], [0.2739, 0.2739, 0.5478]],
  "dos_at_fermi_per_ev_fu": 2.82,
  "space_group": "No. 107"
}

Energies in kJ/mol of atoms, measured from the most stable structure: version one 0.0; version two 6.7.

Version one
{
  "formula": "LiV2Ir2",
  "functional": "PBE",
  "state": "optimized geometry",
  "cell": [[7.4530, 0.0000, 0.0000], [0.0000, 7.4530, 0.0000], [0.0000, 0.0000, 2.7180]],
  "species": ["V", "Ir", "V", "V", "Ir", "Li", "Li", "V", "Ir", "Ir"],
  "frac_coords": [[0.3500, 0.8500, 0.0000], [0.8556, 0.3556, 0.5000], [0.6500, 0.1500, 0.0000], [0.8500, 0.6500, 0.0000], [0.3556, 0.1444, 0.5000], [0.5000, 0.5000, 0.0000], [0.0000, 0.0000, 0.0000], [0.1500, 0.3500, 0.0000], [0.1444, 0.6444, 0.5000], [0.6444, 0.8556, 0.5000]],
  "dos_at_fermi_per_ev_fu": 3.47,
  "space_group": "No. 127"
}

Version two
{
  "formula": "LiV2Ir2",
  "functional": "PBE",
  "state": "optimized geometry",
  "cell": [[7.4155, 0.0000, 0.0000], [0.0000, 7.4155, 0.0000], [0.0000, 0.0000, 2.7439]],
  "species": ["V", "V", "Li", "Ir", "Ir", "Li", "V", "Ir", "V", "Ir"],
  "frac_coords": [[0.1548, 0.6548, 0.5000], [0.3452, 0.1548, 0.5000], [0.5000, 0.5000, 0.0000], [0.1405, 0.3595, 0.0000], [0.3595, 0.8595, 0.0000], [0.0000, 0.0000, 0.0000], [0.6548, 0.8452, 0.5000], [0.8595, 0.6405, 0.0000], [0.8452, 0.3452, 0.5000], [0.6405, 0.1405, 0.0000]],
  "dos_at_fermi_per_ev_fu": 3.52,
  "space_group": "No. 127"
}

Energies in kJ/mol of atoms, measured from the most stable structure: version one 1.8; version two 0.0.

Version one
{
  "formula": "LiIrW2",
  "functional": "PBE",
  "state": "optimized geometry",
  "cell": [[-1.4152, 9.4261, -1.6160], [-1.4690, 8.5570, -4.2526], [-3.7802, 8.4734, -2.7159]],
  "species": ["W", "Li", "Ir", "W"],
  "frac_coords": [[0.5050, 0.5050, 0.5050], [0.7500, 0.7500, 0.7500], [0.2500, 0.2500, 0.2500], [0.9950, 0.9950, 0.9950]],
  "dos_at_fermi_per_ev_fu": 2.30,
  "space_group": "No. 166"
}

Version two
{
  "formula": "LiIrW2",
  "functional": "PBE",
  "state": "optimized geometry",
  "cell": [[-8.7012, -0.8250, -3.6250], [-7.3159, -2.2902, -5.5466], [-8.1748, -3.5275, -3.2036]],
  "species": ["W", "Ir", "Li", "W"],
  "frac_coords": [[0.2447, 0.2447, 0.2447], [0.5019, 0.5019, 0.5019], [0.7545, 0.7545, 0.7545], [0.9989, 0.9989, 0.9989]],
  "dos_at_fermi_per_ev_fu": 3.42,
  "space_group": "No. 160"
}

Energies in kJ/mol of atoms, measured from the most stable structure: version one 6.5; version two 0.0.

Version one
{
  "formula": "LiIrW2",
  "functional": "PBE",
  "state": "optimized geometry",
  "cell": [[-3.2924, -0.1943, 0.7415], [-0.6670, -0.8854, -3.1935], [0.5934, -5.1150, 1.2942]],
  "species": ["W", "Li", "Ir", "W"],
  "frac_coords": [[0.0000, 0.0000, 0.4885], [0.5000, 0.5000, 0.7500], [0.5000, 0.5000, 0.2500], [0.0000, 0.0000, 0.0115]],
  "dos_at_fermi_per_ev_fu": 3.29,
  "space_group": "No. 123"
}

Version two
{
  "formula": "LiIrW2",
  "functional": "PBE",
  "state": "optimized geometry",
  "cell": [[-0.8280, 2.4288, 0.9519], [0.6969, -1.2520, 3.8005], [4.9513, 1.8101, -0.3116]],
  "species": ["Li", "Ir", "W", "W"],
  "frac_coords": [[0.5000, 0.5000, 0.7500], [0.5000, 0.5000, 0.2500], [0.0000, 0.0000, 0.9957], [0.0000, 0.0000, 0.5043]],
  "dos_at_fermi_per_ev_fu": 1.92,
  "space_group": "No. 47"
}

Version three
{
  "formula": "LiIrW2",
  "functional": "PBE",
  "state": "optimized geometry",
  "cell": [[-1.9459, -0.2540, -1.8482], [1.6326, -2.1343, 0.2155], [-5.8034, -3.7699, 6.6281]],
  "species": ["Li", "Ir", "W", "W"],
  "frac_coords": [[0.5000, 0.5000, 0.7500], [0.5000, 0.5000, 0.2500], [0.0000, 0.0000, 0.4912], [0.0000, 0.0000, 0.0088]],
  "dos_at_fermi_per_ev_fu": 4.01,
  "space_group": "No. 65"
}

Energies in kJ/mol of atoms, measured from the most stable structure: version one 28.9; version two 0.0; version three 21.5.

Version one
{
  "formula": "LiIrW2",
  "functional": "PBE",
  "state": "optimized geometry",
  "cell": [[-1.5487, -3.9753, 0.4475], [2.4264, -0.8422, 0.9158], [-0.8187, 0.8721, 4.9139]],
  "species": ["W", "Li", "W", "Ir"],
  "frac_coords": [[0.5000, 0.2235, 0.2675], [0.5000, 0.6712, 0.7626], [0.0000, 0.0174, 0.9723], [0.0000, 0.5879, 0.4976]],
  "dos_at_fermi_per_ev_fu": 2.48,
  "space_group": "No. 6"
}

Version two
{
  "formula": "LiIrW2",
  "functional": "PBE",
  "state": "optimized geometry",
  "cell": [[-1.6457, 2.0344, 0.8936], [-0.1324, -1.1998, 2.4877], [6.3789, 4.1351, 2.3337]],
  "species": ["Li", "W", "Ir", "W"],
  "frac_coords": [[0.5000, 0.5000, 0.7287], [0.5000, 0.5000, 0.2725], [0.0000, 0.0000, 0.5006], [0.0000, 0.0000, 0.9982]],
  "dos_at_fermi_per_ev_fu": 3.56,
  "space_group": "No. 99"
}

Energies in kJ/mol of atoms, measured from the most stable structure: version one 0.0; version two 8.4.

Version one
{
  "formula": "LiIrW2",
  "functional": "PBE",
  "state": "optimized geometry",
  "cell": [[-2.9331, 1.7135, -3.1367], [-0.7455, 0.8076, -4.4911], [-2.3521, -4.2929, -0.9274]],
  "species": ["Ir", "W", "Li", "W"],
  "frac_coords": [[0.4957, 0.4957, 0.4939], [0.7566, 0.7566, 0.7378], [0.2456, 0.2456, 0.2494], [0.0022, 0.0022, 0.0189]],
  "dos_at_fermi_per_ev_fu": 3.09,
  "space_group": "No. 8"
}

Version two
{
  "formula": "LiIrW2",
  "functional": "PBE",
  "state": "optimized geometry",
  "cell": [[4.9498, 0.0032, 0.0000], [2.1193, 4.4731, 0.0000], [-3.5346, -2.2381, 2.6454]],
  "species": ["Ir", "Li", "W", "W"],
  "frac_coords": [[0.2500, 0.7500, 0.5000], [0.7500, 0.2500, 0.5000], [0.5000, 0.5000, 0.0000], [0.0000, 0.0000, 0.0000]],
  "dos_at_fermi_per_ev_fu": 3.49,
  "space_group": "No. 139"
}

Energies in kJ/mol of atoms, measured from the most stable structure: version one 0.0; version two 4.0.

Version one
{
  "formula": "LiIrW2",
  "functional": "PBE",
  "state": "optimized geometry",
  "cell": [[-4.3499, 2.5232, -0.5399], [0.0931, -4.8589, -1.4006], [-1.2711, -1.0176, 2.1667]],
  "species": ["Li", "W", "Ir", "W"],
  "frac_coords": [[0.0000, 0.5000, 0.5000], [0.0000, 0.0000, 0.0000], [0.5000, 0.0000, 0.5000], [0.5000, 0.5000, 0.0000]],
  "dos_at_fermi_per_ev_fu": 2.70,
  "space_group": "No. 12"
}

Version two
{
  "formula": "LiIrW2",
  "functional": "PBE",
  "state": "optimized geometry",
  "cell": [[-1.6164, 4.5733, 0.6399], [-2.2531, -2.4483, -3.5871], [-1.8493, -0.9023, 1.7775]],
  "species": ["W", "Ir", "W", "Li"],
  "frac_coords": [[0.0000, 0.0000, 0.0000], [0.5000, 0.0000, 0.5000], [0.5000, 0.5000, 0.0000], [0.0000, 0.5000, 0.5000]],
  "dos_at_fermi_per_ev_fu": 3.68,
  "space_group": "No. 65"
}

Energies in kJ/mol of atoms, measured from the most stable structure: version one 0.0; version two 3.0.

Version one
{
  "formula": "LiIrW2",
  "functional": "PBE",
  "state": "optimized geometry",
  "cell": [[-2.8919, 1.2340, 2.5070], [-2.6498, -1.4287, -2.3534], [0.1685, -3.3444, 1.8406]],
  "species": ["W", "Li", "W", "Ir"],
  "frac_coords": [[0.0000, 0.5000, 0.5000], [0.5000, 0.0000, 0.5000], [0.0000, 0.0000, 0.0000], [0.5000, 0.5000, 0.0000]],
  "dos_at_fermi_per_ev_fu": 2.94,
  "space_group": "No. 123"
}

Version two
{
  "formula": "LiIrW2",
  "functional": "PBE",
  "state": "optimized geometry",
  "cell": [[0.0000, 3.0880, 3.0880], [3.0880, 0.0000, 3.0880], [3.0880, 3.0880, 0.0000]],
  "species": ["W", "W", "Li", "Ir"],
  "frac_coords": [[0.2500, 0.2500, 0.2500], [0.7500, 0.7500, 0.7500], [0.0000, 0.0000, 0.0000], [0.5000, 0.5000, 0.5000]],
  "dos_at_fermi_per_ev_fu": 5.73,
  "space_group": "No. 225"
}

Energies in kJ/mol of atoms, measured from the most stable structure: version one 0.0; version two 18.2.

Version one
{
  "formula": "LiIrW2",
  "functional": "PBE",
  "state": "optimized geometry",
  "cell": [[-2.0510, 1.0732, -1.4230], [-0.9174, -1.8828, 1.7311], [-1.0677, 6.3118, 6.2993]],
  "species": ["Li", "W", "Ir", "W"],
  "frac_coords": [[0.5000, 0.5000, 0.7385], [0.0000, 0.0000, 0.0062], [0.0000, 0.0000, 0.4993], [0.5000, 0.5000, 0.2560]],
  "dos_at_fermi_per_ev_fu": 3.32,
  "space_group": "No. 35"
}

Version two
{
  "formula": "LiIrW2",
  "functional": "PBE",
  "state": "optimized geometry",
  "cell": [[-5.0706, 1.1343, -0.3524], [-4.3356, -0.4301, -2.8530], [-2.6452, -3.1921, 1.2195]],
  "species": ["W", "Li", "W", "Ir"],
  "frac_coords": [[0.4945, 0.4945, 0.5055], [0.2500, 0.2500, 0.2500], [0.0055, 0.0055, 0.9945], [0.7500, 0.7500, 0.7500]],
  "dos_at_fermi_per_ev_fu": 2.85,
  "space_group": "No. 71"
}

Energies in kJ/mol of atoms, measured from the most stable structure: version one 9.8; version two 0.0.

Version one
{
  "formula": "LiIrW2",
  "functional": "PBE",
  "state": "optimized geometry",
  "cell": [[-0.0938, -0.5038, 4.0861], [-0.1050, -2.7093, -0.3365], [5.1236, -2.0652, -0.1371]],
  "species": ["W", "W", "Li", "Ir"],
  "frac_coords": [[0.0000, 0.9788, 0.9918], [0.0000, 0.5212, 0.5082], [0.5000, 0.7500, 0.7500], [0.5000, 0.2500, 0.2500]],
  "dos_at_fermi_per_ev_fu": 2.51,
  "space_group": "No. 10"
}

Version two
{
  "formula": "LiIrW2",
  "functional": "PBE",
  "state": "optimized geometry",
  "cell": [[-0.8476, 1.3557, -2.2290], [-2.3281, 0.6647, 1.2896], [3.4720, 6.7531, 2.7870]],
  "species": ["Li", "W", "W", "Ir"],
  "frac_coords": [[0.5000, 0.5000, 0.7500], [0.0000, 0.0000, 0.4938], [0.0000, 0.0000, 0.0062], [0.5000, 0.5000, 0.2500]],
  "dos_at_fermi_per_ev_fu": 3.27,
  "space_group": "No. 123"
}

Version three
{
  "formula": "LiIrW2",
  "functional": "PBE",
  "state": "optimized geometry",
  "cell": [[-3.1428, -0.4565, -0.1556], [0.2523, -0.6823, -3.0953], [0.7469, -5.5821, 1.2914]],
  "species": ["W", "W", "Ir", "Li"],
  "frac_coords": [[0.5000, 0.5000, 0.2433], [0.0000, 0.0000, 0.9916], [0.0000, 0.0000, 0.5274], [0.5000, 0.5000, 0.7377]],
  "dos_at_fermi_per_ev_fu": 4.04,
  "space_group": "No. 99"
}

Version four
{
  "formula": "LiIrW2",
  "functional": "PBE",
  "state": "optimized geometry",
  "cell": [[3.0462, 0.0000, 0.0000], [0.0000, 4.3182, 0.0000], [0.0000, 0.0000, 4.4819]],
  "species": ["W", "W", "Ir", "Li"],
  "frac_coords": [[0.0000, 0.0000, 0.0000], [0.5000, 0.5000, 0.0000], [0.5000, 0.0000, 0.5000], [0.0000, 0.5000, 0.5000]],
  "dos_at_fermi_per_ev_fu": 3.06,
  "space_group": "No. 47"
}

Energies in kJ/mol of atoms, measured from the most stable structure: version one 0.0; version two 17.3; version three 7.9; version four 4.7.

Version one
{
  "formula": "LiIrW2",
  "functional": "PBE",
  "state": "optimized geometry",
  "cell": [[7.3001, 0.0000, 0.0000], [0.0000, 7.3001, 0.0000], [3.6500, 3.6500, 2.5555]],
  "species": ["Ir", "Li", "Ir", "W", "W", "Li", "W", "W"],
  "frac_coords": [[0.7500, 0.2500, 0.5000], [0.5000, 0.5000, 0.0000], [0.0000, 0.0000, 0.0000], [0.3750, 0.3399, 0.7500], [0.0899, 0.6250, 0.2500], [0.2500, 0.7500, 0.5000], [0.8750, 0.9101, 0.7500], [0.6601, 0.1250, 0.2500]],
  "dos_at_fermi_per_ev_fu": 2.60,
  "space_group": "No. 122"
}

Version two
{
  "formula": "LiIrW2",
  "functional": "PBE",
  "state": "optimized geometry",
  "cell": [[-1.7938, -1.9933, -0.5798], [2.5074, -1.5139, -2.5529], [2.1876, -3.1343, 4.0073]],
  "species": ["Li", "W", "Ir", "W"],
  "frac_coords": [[0.5000, 0.5000, 0.7399], [0.5000, 0.5000, 0.2603], [0.0000, 0.0000, 0.5186], [0.0000, 0.0000, 0.9812]],
  "dos_at_fermi_per_ev_fu": 2.40,
  "space_group": "No. 25"
}

Version three
{
  "formula": "LiIrW2",
  "functional": "PBE",
  "state": "optimized geometry",
  "cell": [[5.1380, 0.0042, -0.0051], [2.2208, 4.6332, 0.0051], [-3.1121, -3.2189, 2.5204]],
  "species": ["Li", "W", "W", "Ir"],
  "frac_coords": [[0.7432, 0.2432, 0.5000], [0.2483, 0.7483, 0.5000], [0.0114, 0.0114, 0.0000], [0.4970, 0.4970, 0.0000]],
  "dos_at_fermi_per_ev_fu": 2.51,
  "space_group": "No. 44"
}

Energies in kJ/mol of atoms, measured from the most stable structure: version one 56.1; version two 0.0; version three 7.5.

Version one
{
  "formula": "LiIr3W",
  "functional": "PBE",
  "state": "optimized geometry",
  "cell": [[-0.6178, 3.3753, 3.3176], [3.2851, -2.1026, 2.7510], [3.4069, 2.6395, -2.0510]],
  "species": ["W", "Ir", "Ir", "Li", "Ir"],
  "frac_coords": [[0.0000, 0.0000, 0.0000], [0.0000, 0.0000, 0.5000], [0.5000, 0.0000, 0.0000], [0.5000, 0.5000, 0.5000], [0.0000, 0.5000, 0.0000]],
  "dos_at_fermi_per_ev_fu": 5.42,
  "space_group": "No. 221"
}

Version two
{
  "formula": "LiIr3W",
  "functional": "PBE",
  "state": "optimized geometry",
  "cell": [[-3.1651, -2.4266, 0.9897], [2.2896, -3.3154, -0.8066], [1.2748, -0.0699, 3.9058]],
  "species": ["W", "Li", "Ir", "Ir", "Ir"],
  "frac_coords": [[0.5000, 0.5000, 0.5000], [0.0000, 0.0000, 0.0000], [0.0000, 0.5000, 0.0000], [0.5000, 0.0000, 0.0000], [0.0000, 0.0000, 0.5000]],
  "dos_at_fermi_per_ev_fu": 6.12,
  "space_group": "No. 221"
}

Energies in kJ/mol of atoms, measured from the most stable structure: version one 55.4; version two 0.0.